Entry 1:
# Pm3Ga2Ge6

Pm3Ga2Ge6 after structural relaxation (PBE, the Alexandria database).

The structure belongs to space group I4/mmm (No. 139); the cell edges are 4.2939, 4.2939 and 27.4617 Å and the angles 90.00°, 90.00° and 90.00°. The asymmetric unit holds Pm at (0.0000, 0.0000, 0.0000), Pm at (0.0000, 0.0000, 0.1634), Ga at (0.0000, 0.0000, 0.3608), Ge at (0.0000, 0.0000, 0.2705) and Ge at (0.0000, 0.5000, 0.0795).

Its energy of formation from the pure elements is -0.42 eV per atom. For the calculated density, the calculation gives 6.63 g/cm³.


Entry 2:
# Pm4GaGe

Pm4GaGe after structural relaxation (PBE, the Alexandria database).

The structure belongs to space group Pnma (No. 62); the cell edges are 8.1319, 4.5028 and 18.2229 Å and the angles 90.00°, 90.00° and 90.00°. The asymmetric unit holds Pm at (0.0066, 0.2500, 0.0726), Pm at (0.0369, 0.7500, 0.2219), Pm at (0.1122, 0.7500, 0.6537), Pm at (0.1611, 0.7500, 0.4336), Ga at (0.2334, 0.2500, 0.5520) and Ge at (0.2455, 0.2500, 0.3063).

Its energy of formation from the pure elements is -0.49 eV per atom. For the calculated density, the calculation gives 7.19 g/cm³. As for the excess energy over the best structure of this formula in the dataset: 0.000 eV per atom.


Copy entry 1 word for word.
# Pm3Ga2Ge6

Pm3Ga2Ge6 after structural relaxation (PBE, the Alexandria database).

The structure belongs to space group I4/mmm (No. 139); the cell edges are 4.2939, 4.2939 and 27.4617 Å and the angles 90.00°, 90.00° and 90.00°. The asymmetric unit holds Pm at (0.0000, 0.0000, 0.0000), Pm at (0.0000, 0.0000, 0.1634), Ga at (0.0000, 0.0000, 0.3608), Ge at (0.0000, 0.0000, 0.2705) and Ge at (0.0000, 0.5000, 0.0795).

Its energy of formation from the pure elements is -0.42 eV per atom. For the calculated density, the calculation gives 6.63 g/cm³.